Below is a geometry-optimized K3VO4 structure, with properties calculated at the PBEsol level.

## Properties
The value obtained for the energy relative to the elements, uncorrected is -2.125 eV/atom. The volume comes out at 19.9 Å³ per atom. The space group is I-42m, No. 121. The total moment is 0.12 μB/cell.

a b c (Å): 6.4621 6.4621 6.4621
angles (deg): 128.97 128.97 75.06
Last column: nearest neighbours and their distance in Å.
Element x y z (fractional)
K  0.0000  0.0000  0.0000  4 O 2.70
K  0.2500  0.7500  0.5000  4 O 2.58
K  0.7500  0.2500  0.5000  4 O 2.58
V  0.5000  0.5000  0.0000  4 O 1.72
O  0.2241  0.2241  0.6399  1 V 1.72
O  0.4157  0.7759  0.0000  1 V 1.72
O  0.5843  0.5843  0.3601  1 V 1.72
O  0.7759  0.4157  0.0000  1 V 1.72

Below is a geometry-optimized CaLa2Mg structure, with properties calculated at the PBEsol level.

## Properties
The volume comes out at 33.3 Å³ per atom. The space group is R3m, No. 160. The total moment is 0.00 μB/cell. The formation enthalpy at 0 K comes out at 39.5 meV/atom.

a b c (Å): 11.8885 11.8885 11.8885
angles (deg): 17.55 17.55 17.55
Last column: nearest neighbours and their distance in Å.
Element x y z (fractional)
Ca  0.0000  0.0000  0.0000  3 Mg 3.46, 6 Ca 3.63, 3 La 3.84
La  0.2415  0.2415  0.2415  9 La 3.58-3.63, 3 Ca 3.84
La  0.4920  0.4920  0.4920  3 Mg 3.51, 9 La 3.58-3.63
Mg  0.7451  0.7451  0.7451  3 Ca 3.46, 3 La 3.51, 6 Mg 3.63

Below is a geometry-optimized Tl3CrMo structure, with properties calculated at the PBEsol level.

## Properties
The volume comes out at 29.1 Å³ per atom. The space group is Pm-3m, No. 221. The total moment is 4.71 μB/cell. The formation enthalpy at 0 K comes out at 1215.5 meV/atom.

a b c (Å): 5.2626 5.2626 5.2626
angles (deg): 90.00 90.00 90.00
Last column: nearest neighbours and their distance in Å.
Element x y z (fractional)
Tl  0.0000  0.0000  0.5000  2 Mo 2.63
Tl  0.0000  0.5000  0.0000  2 Mo 2.63
Tl  0.5000  0.0000  0.0000  2 Mo 2.63
Cr  0.5000  0.5000  0.5000  12 Tl 3.72
Mo  0.0000  0.0000  0.0000  6 Tl 2.63

Below is a geometry-optimized LaCd2Co2 structure, with properties calculated at the PBEsol level.

## Properties
The volume comes out at 19.0 Å³ per atom. The space group is I4/mmm, No. 139. The total moment is 1.29 μB/cell. The formation enthalpy at 0 K comes out at 27.3 meV/atom.

a b c (Å): 6.2746 6.2746 6.2746
angles (deg): 141.51 141.51 55.56
Last column: nearest neighbours and their distance in Å.
Element x y z (fractional)
La  0.0000  0.0000  0.0000  8 Co 3.11, 8 Cd 3.46
Cd  0.2500  0.7500  0.5000  4 Co 2.68, 4 Cd 2.92
Cd  0.7500  0.2500  0.5000  4 Co 2.68, 4 Cd 2.92
Co  0.4039  0.4039  0.0000  1 Co 2.13
Co  0.5961  0.5961  0.0000  1 Co 2.13

Below is a geometry-optimized Ba2ScSb structure, with properties calculated at the PBEsol level.

## Properties
The value obtained for the energy relative to the elements, uncorrected is -0.448 eV/atom. The volume comes out at 39.1 Å³ per atom. The space group is Amm2, No. 38. The total moment is 0.00 μB/cell.

a b c (Å): 4.6409 7.1541 7.1541
angles (deg): 41.24 90.00 90.00
Last column: nearest neighbours and their distance in Å.
Element x y z (fractional)
Ba  0.0000  0.0000  0.0000  4 Sc 3.62, 3 Sb 3.82
Ba  0.5000  0.2939  0.2939  4 Sb 3.59, 3 Sc 3.73-3.95
Sc  0.5000  0.5885  0.5885  2 Sb 2.87
Sb  0.0000  0.7146  0.7146  2 Sc 2.87

Below is a geometry-optimized K2CoHg structure, with properties calculated at the PBEsol level.

## Properties
The volume comes out at 32.2 Å³ per atom. The space group is P4mm, No. 99. The total moment is 1.37 μB/cell. The formation enthalpy at 0 K comes out at 436.9 meV/atom.

a b c (Å): 3.6209 3.6209 9.8087
angles (deg): 90.00 90.00 90.00
Last column: nearest neighbours and their distance in Å.
Element x y z (fractional)
K  0.0000  0.0000  0.0000  1 Co 3.04
K  0.5000  0.5000  0.4183  1 Hg 3.15
Co  0.0000  0.0000  0.6900  4 Hg 2.61
Hg  0.5000  0.5000  0.7398  4 Co 2.61

Below is a geometry-optimized LiInAg structure, with properties calculated at the PBEsol level.

## Properties
The volume comes out at 17.5 Å³ per atom. The space group is I4mm, No. 107. The total moment is 0.00 μB/cell. The formation enthalpy at 0 K comes out at -254.4 meV/atom.

a b c (Å): 5.0920 5.0920 5.0920
angles (deg): 140.73 140.73 56.75
Last column: nearest neighbours and their distance in Å.
Element x y z (fractional)
Li  0.0000  0.0000  0.0000  4 Ag 2.76, 5 In 2.87-2.93
In  0.6726  0.6726  0.0000  5 Li 2.87-2.93, 5 Ag 2.88-2.90
Ag  0.3514  0.3514  0.0000  4 Li 2.76, 5 In 2.88-2.90

Below is a geometry-optimized LaNbPS2 structure, with properties calculated at the PBEsol level.

## Properties
The value obtained for the energy relative to the elements, uncorrected is 0.709 eV/atom. The volume comes out at 28.7 Å³ per atom. The space group is P4/mmm, No. 123. The total moment is 2.01 μB/cell.

a b c (Å): 5.2668 5.2668 5.1671
angles (deg): 90.00 90.00 90.00
Last column: nearest neighbours and their distance in Å.
Element x y z (fractional)
La  0.0000  0.0000  0.0000  2 P 2.58, 4 S 2.63
Nb  0.5000  0.5000  0.5000  8 S 3.69, 4 P 3.72
P  0.0000  0.0000  0.5000  2 La 2.58
S  0.0000  0.5000  0.0000  2 La 2.63
S  0.5000  0.0000  0.0000  2 La 2.63

Below is a geometry-optimized PtAuSe2 structure, with properties calculated at the PBEsol level.

## Properties
The value obtained for the energy relative to the elements, uncorrected is -0.019 eV/atom. The volume comes out at 21.2 Å³ per atom. The space group is Cm, No. 8. The total moment is 0.00 μB/cell.

a b c (Å): 5.2947 5.2947 4.8024
angles (deg): 100.08 100.08 39.76
Last column: nearest neighbours and their distance in Å.
Element x y z (fractional)
Pt  0.0000  0.0000  0.0000  4 Se 2.46-2.47, 1 Au 2.71
Au  0.2770  0.2770  0.0743  3 Se 2.55-2.83, 1 Pt 2.71
Se  0.4105  0.4105  0.6695  2 Pt 2.46, 1 Au 2.55
Se  0.6110  0.6110  0.3123  2 Pt 2.47

Below is a geometry-optimized RhW2Se structure, with properties calculated at the PBEsol level.

## Properties
The value obtained for the energy relative to the elements, uncorrected is 0.149 eV/atom. The volume comes out at 15.6 Å³ per atom. The space group is R3m, No. 160. The total moment is 0.00 μB/cell.

a b c (Å): 8.7193 8.7193 8.7193
angles (deg): 19.15 19.15 19.15
Last column: nearest neighbours and their distance in Å.
Element x y z (fractional)
Rh  0.0000  0.0000  0.0000  3 W 2.62, 3 Se 2.83, 6 Rh 2.90
W  0.2548  0.2548  0.2548  3 Rh 2.62, 9 W 2.90
W  0.4960  0.4960  0.4960  3 Se 2.53
Se  0.7557  0.7557  0.7557  3 W 2.53

Below is a geometry-optimized TePtPb structure, with properties calculated at the PBEsol level.

## Properties
The value obtained for the energy relative to the elements, uncorrected is -0.225 eV/atom. The volume comes out at 25.8 Å³ per atom. The calculation puts the energy above the most stable polymorph in this dataset at 122 meV/atom. The space group is P3m1, No. 156. The total moment is 0.00 μB/cell.

a b c (Å): 4.4052 4.4052 4.6067
angles (deg): 90.00 90.00 120.00
Last column: nearest neighbours and their distance in Å.
Element x y z (fractional)
Te  0.0000  0.0000  0.0000  3 Pt 2.63
Pt  0.6667  0.3333  0.1437  3 Te 2.63
Pb  0.3333  0.6667  0.4709  3 Pt 2.96

Below is a geometry-optimized AlAs2BrF structure, with properties calculated at the PBEsol level.

## Properties
The value obtained for the energy relative to the elements, uncorrected is 0.192 eV/atom. The volume comes out at 22.3 Å³ per atom. The space group is P4/mmm, No. 123. The total moment is 0.00 μB/cell.

a b c (Å): 4.7793 4.7793 4.8749
angles (deg): 90.00 90.00 90.00
Last column: nearest neighbours and their distance in Å.
Element x y z (fractional)
Al  0.0000  0.0000  0.0000  4 As 2.39, 2 Br 2.44
As  0.0000  0.5000  0.0000  2 Al 2.39
As  0.5000  0.0000  0.0000  2 Al 2.39
Br  0.0000  0.0000  0.5000  2 Al 2.44
F  0.5000  0.5000  0.5000  4 Br 3.38, 8 As 3.41

Below is a geometry-optimized Cr2SiCl structure, with properties calculated at the PBEsol level.

## Properties
The value obtained for the energy relative to the elements, uncorrected is 0.437 eV/atom. The volume comes out at 12.7 Å³ per atom. The calculation puts the energy above the most stable polymorph in this dataset at 341 meV/atom. The space group is Fm-3m, No. 225. The total moment is 3.15 μB/cell.

a b c (Å): 4.1599 4.1599 4.1599
angles (deg): 60.00 60.00 60.00
Last column: nearest neighbours and their distance in Å.
Element x y z (fractional)
Cr  0.2500  0.2500  0.2500  4 Cl 2.55, 4 Si 2.55
Cr  0.7500  0.7500  0.7500  4 Cl 2.55, 4 Si 2.55
Si  0.0000  0.0000  0.0000  8 Cr 2.55
Cl  0.5000  0.5000  0.5000  8 Cr 2.55

Below is a geometry-optimized Zr2CdCo structure, with properties calculated at the PBEsol level.

## Properties
The volume comes out at 18.8 Å³ per atom. The space group is R3m, No. 160. The total moment is 0.00 μB/cell. The formation enthalpy at 0 K comes out at 117.0 meV/atom.

a b c (Å): 8.9847 8.9847 8.9847
angles (deg): 20.14 20.14 20.14
Last column: nearest neighbours and their distance in Å.
Element x y z (fractional)
Zr  0.0000  0.0000  0.0000  3 Cd 3.12, 9 Zr 3.14
Zr  0.2361  0.2361  0.2361  3 Co 2.48
Cd  0.7628  0.7628  0.7628  3 Co 2.70
Co  0.5052  0.5052  0.5052  3 Zr 2.48, 3 Cd 2.70

Below is a geometry-optimized MgTa3Pb structure, with properties calculated at the PBEsol level.

## Properties
The volume comes out at 21.2 Å³ per atom. The space group is Pm-3m, No. 221. The total moment is 0.00 μB/cell. The formation enthalpy at 0 K comes out at 1818.9 meV/atom.

a b c (Å): 4.7293 4.7293 4.7293
angles (deg): 90.00 90.00 90.00
Last column: nearest neighbours and their distance in Å.
Element x y z (fractional)
Mg  0.0000  0.0000  0.0000  6 Ta 2.36
Ta  0.0000  0.0000  0.5000  2 Mg 2.36
Ta  0.0000  0.5000  0.0000  2 Mg 2.36
Ta  0.5000  0.0000  0.0000  2 Mg 2.36
Pb  0.5000  0.5000  0.5000  12 Ta 3.34